First-principles (PBE) data for crystalline Bi3Sb2Pd4 at its relaxed geometry, as listed in Alexandria via LeMat-Bulk.

Cell and atoms, written as POSCAR:
```
Bi3Sb2Pd4
1.0
4.363 0.000 0.000
-2.182 5.426 0.308
0.000 -1.837 8.678
Pd Bi Sb
4 3 2
Cartesian
0.000 1.584 8.026 Pd
0.000 -0.406 5.633 Pd
2.182 2.005 0.960 Pd
2.182 3.995 3.353 Pd
0.000 2.987 5.491 Bi
0.000 0.000 0.000 Bi
2.182 0.602 3.495 Bi
2.182 0.359 6.982 Sb
0.000 3.230 2.003 Sb
```

Summary:
formation energy without anion corrections: -240 meV per atom
theoretical density: 10.35 g/cm3
space group: C2/m, No. 12